An optimized crystal structure of TbYAlRh. Source: the Alexandria database, functional PBE.

Geometry as extended XYZ:
```
4
Lattice="0.0000 3.5422 3.5422 3.5422 0.0000 3.5422 3.5422 3.5422 0.0000" Properties=species:S:1:pos:R:3 pbc="T T T"
Tb 0.0000 0.0000 0.0000
Y 3.5422 3.5422 3.5422
Al 1.7711 1.7711 1.7711
Rh 5.3134 5.3134 5.3134
```

Values from the calculation:
The density of states at the Fermi level is 3.2 states/eV per cell. For the density, the calculation gives 7.06 g/cm3. Its crystal system is cubic. For the formation enthalpy at 0 K, the calculation gives -0.551 eV/atom.